Ac3GaS6 GGA-PBE optimized geometry; formation energy without anion corrections = -1.8410 eV per atom; DOS(E_F) = 0.00 states/eV per cell; E_tot = -5.85 eV/atom; space group = Cmc2_1 (36)
1.0
5.769 -7.212 0.000
5.769 7.212 0.000
0.000 0.000 6.922
Ac Ga S
6 2 12
Direct
0.105 0.895 0.500
0.210 0.416 0.559
0.416 0.210 0.059
0.584 0.790 0.559
0.790 0.584 0.059
0.895 0.105 0.000
0.306 0.694 0.110
0.694 0.306 0.610
0.083 0.603 0.266
0.142 0.177 0.281
0.177 0.142 0.781
0.287 0.713 0.779
0.397 0.917 0.266
0.456 0.544 0.237
0.544 0.456 0.737
0.603 0.083 0.766
0.713 0.287 0.279
0.823 0.858 0.281
0.858 0.823 0.781
0.917 0.397 0.766

***

Ac2ScGaS6 GGA-PBE optimized geometry; formation energy without anion corrections = -1.7142 eV per atom; E_tot = -5.95 eV/atom; space group = P2_1/c (14)
1.0
6.694 0.000 0.000
0.000 7.212 0.000
-6.635 0.000 9.641
Ac Sc Ga S
4 2 2 12
Direct
0.220 0.089 0.248
0.220 0.411 0.748
0.780 0.589 0.252
0.780 0.911 0.752
0.500 0.000 0.000
0.500 0.500 0.500
0.000 0.000 0.500
0.000 0.500 0.000
0.141 0.195 0.953
0.141 0.305 0.453
0.258 0.688 0.953
0.258 0.812 0.453
0.338 0.012 0.744
0.338 0.488 0.244
0.662 0.512 0.756
0.662 0.988 0.256
0.742 0.188 0.547
0.742 0.312 0.047
0.859 0.695 0.547
0.859 0.805 0.047

***

Ac4GaSe2S GGA-PBE optimized geometry; formation energy without anion corrections = -1.5505 eV per atom; DOS(E_F) = 3.49 states/eV per cell; E_tot = -5.37 eV/atom; space group = P2/m (10)
1.0
7.757 0.000 0.000
0.000 4.450 0.000
-2.593 0.000 7.428
Ac Ga Se S
4 1 2 1
Direct
0.246 0.000 0.239
0.251 0.500 0.757
0.749 0.500 0.243
0.754 0.000 0.761
0.500 0.000 0.000
0.000 0.000 0.500
0.500 0.500 0.500
0.000 0.500 0.000

***

Ac6GaSe2S3 GGA-PBE optimized geometry; formation energy without anion corrections = -1.7071 eV per atom; DOS(E_F) = 5.49 states/eV per cell; E_tot = -5.63 eV/atom; space group = C2/m (12)
1.0
3.856 -6.667 0.000
3.856 6.667 0.000
-2.559 0.000 7.187
Ac Ga Se S
6 1 2 3
Direct
0.086 0.414 0.759
0.242 0.242 0.242
0.414 0.086 0.759
0.586 0.914 0.241
0.758 0.758 0.758
0.914 0.586 0.241
0.000 0.000 0.500
0.333 0.667 0.500
0.667 0.333 0.500
0.167 0.833 0.000
0.500 0.500 0.000
0.833 0.167 0.000

***

Ac6GaSe3S2 GGA-PBE optimized geometry; formation energy without anion corrections = -1.6931 eV per atom; DOS(E_F) = 5.78 states/eV per cell; E_tot = -5.56 eV/atom; space group = C2/m (12)
1.0
3.846 -6.647 0.000
3.846 6.647 0.000
-2.553 0.000 7.371
Ac Ga Se S
6 1 3 2
Direct
0.085 0.420 0.761
0.244 0.244 0.238
0.420 0.085 0.761
0.580 0.915 0.239
0.756 0.756 0.762
0.915 0.580 0.239
0.500 0.500 0.000
0.000 0.000 0.500
0.334 0.666 0.500
0.666 0.334 0.500
0.167 0.833 0.000
0.833 0.167 0.000

***

SrAcGaS4 GGA-PBE optimized geometry; formation energy without anion corrections = -1.6431 eV per atom; DOS(E_F) = 0.00 states/eV per cell; E_tot = -5.26 eV/atom; space group = P2_1/m (11)
1.0
6.791 0.000 0.000
0.000 6.736 0.000
-2.495 0.000 7.948
Sr Ac Ga S
2 2 2 8
Direct
0.238 0.250 0.434
0.762 0.750 0.566
0.274 0.250 0.944
0.726 0.750 0.056
0.270 0.750 0.199
0.730 0.250 0.801
0.071 0.750 0.374
0.088 0.750 0.917
0.498 0.007 0.253
0.498 0.493 0.253
0.502 0.507 0.747
0.502 0.993 0.747
0.912 0.250 0.083
0.929 0.250 0.626

***

Ac6GaTe3S2 GGA-PBE optimized geometry; formation energy without anion corrections = -1.5123 eV per atom; DOS(E_F) = 6.08 states/eV per cell; E_tot = -5.29 eV/atom; space group = C2/m (12)
1.0
3.917 -6.777 0.000
3.917 6.777 0.000
-2.603 0.000 7.753
Ac Ga Te S
6 1 3 2
Direct
0.091 0.426 0.778
0.238 0.238 0.220
0.426 0.091 0.778
0.574 0.909 0.222
0.762 0.762 0.780
0.909 0.574 0.222
0.500 0.500 0.000
0.000 0.000 0.500
0.334 0.666 0.500
0.666 0.334 0.500
0.167 0.833 0.000
0.833 0.167 0.000

***

Ac4GaTe2S GGA-PBE optimized geometry; formation energy without anion corrections = -1.3756 eV per atom; DOS(E_F) = 3.64 states/eV per cell; E_tot = -5.11 eV/atom; space group = P2/m (10)
1.0
7.891 0.000 0.000
0.000 4.564 0.000
-2.664 0.000 7.774
Ac Ga Te S
4 1 2 1
Direct
0.241 0.000 0.222
0.258 0.500 0.773
0.742 0.500 0.227
0.759 0.000 0.778
0.500 0.000 0.000
0.000 0.000 0.500
0.500 0.500 0.500
0.000 0.500 0.000

***

Ac3Tl3GaS8 GGA-PBE optimized geometry; formation energy without anion corrections = -1.1584 eV per atom; DOS(E_F) = 7.73 states/eV per cell; E_tot = -4.86 eV/atom; space group = R-3m (166)
1.0
4.289 2.476 7.275
-4.289 2.476 7.275
0.000 -4.953 7.275
Ac Tl Ga S
3 3 1 8
Direct
0.000 0.500 0.500
0.500 0.000 0.500
0.500 0.500 0.000
0.000 0.000 0.500
0.000 0.500 0.000
0.500 0.000 0.000
0.000 0.000 0.000
0.210 0.210 0.777
0.210 0.777 0.210
0.223 0.790 0.790
0.261 0.261 0.261
0.739 0.739 0.739
0.777 0.210 0.210
0.790 0.223 0.790
0.790 0.790 0.223

***

AcGaSb2 GGA-PBE optimized geometry; formation energy without anion corrections = -0.4980 eV per atom; relative energy among the computed polymorphs = 0.255 eV/f.u.; DOS(E_F) = 1.69 states/eV per cell; E_tot = -4.34 eV/atom; space group = P4/mmm (123)
1.0
4.255 0.000 0.000
0.000 4.255 0.000
0.000 0.000 6.527
Ac Ga Sb
1 1 2
Direct
0.000 0.000 0.000
0.000 0.000 0.500
0.500 0.500 0.276
0.500 0.500 0.724

***

AcGaSb4 GGA-PBE optimized geometry; formation energy without anion corrections = -0.1729 eV per atom; DOS(E_F) = 3.20 states/eV per cell; E_tot = -4.11 eV/atom; space group = F-43m (216)
1.0
0.000 4.493 4.493
4.493 0.000 4.493
4.493 4.493 0.000
Ac Ga Sb
1 1 4
Direct
0.000 0.000 0.000
0.750 0.750 0.750
0.377 0.377 0.377
0.377 0.377 0.868
0.377 0.868 0.377
0.868 0.377 0.377

***

Ac2GaSb4 GGA-PBE optimized geometry; formation energy without anion corrections = -0.7244 eV per atom; DOS(E_F) = 0.91 states/eV per cell; E_tot = -4.69 eV/atom; space group = P-4m2 (115)
1.0
4.561 0.000 0.000
0.000 4.561 0.000
0.000 0.000 10.711
Ac Ga Sb
2 1 4
Direct
0.000 0.500 0.245
0.500 0.000 0.755
0.000 0.000 0.500
0.000 0.000 0.000
0.000 0.500 0.646
0.500 0.000 0.354
0.500 0.500 0.000

***

> The highest E_tot belongs to which entry?

AcGaSb4

***

> Among the records above, which one has the lowest E_tot?

Ac2ScGaS6

***

Repeat the sixth record exactly.
SrAcGaS4 GGA-PBE optimized geometry; formation energy without anion corrections = -1.6431 eV per atom; DOS(E_F) = 0.00 states/eV per cell; E_tot = -5.26 eV/atom; space group = P2_1/m (11)
1.0
6.791 0.000 0.000
0.000 6.736 0.000
-2.495 0.000 7.948
Sr Ac Ga S
2 2 2 8
Direct
0.238 0.250 0.434
0.762 0.750 0.566
0.274 0.250 0.944
0.726 0.750 0.056
0.270 0.750 0.199
0.730 0.250 0.801
0.071 0.750 0.374
0.088 0.750 0.917
0.498 0.007 0.253
0.498 0.493 0.253
0.502 0.507 0.747
0.502 0.993 0.747
0.912 0.250 0.083
0.929 0.250 0.626